P) Crystalline LiOsRu2 at its relaxed geometry, computed with GGA-PBE.

POSCAR file:
```
LiOsRu2
1.0
3.581 0.000 0.000
0.000 3.888 0.000
0.000 0.000 3.888
Ru Li Os
2 1 1
Cartesian
0.000 0.000 0.000 Ru
0.000 1.944 1.944 Ru
1.791 1.944 0.000 Li
1.791 0.000 1.944 Os
```

Results
As for the crystal system: tetragonal. Its total magnetization is 0.00 Bohr magnetons per cell.

Q) Crystalline LiOsRu2 at its relaxed geometry, computed with GGA-PBE.

POSCAR file:
```
LiOsRu2
1.0
2.705 0.000 0.000
0.000 3.910 0.000
0.000 0.000 5.108
Os Ru Li
1 2 1
Cartesian
1.352 1.955 3.807 Os
0.000 0.000 5.045 Ru
1.352 1.955 1.404 Ru
0.000 0.000 2.513 Li
```

Results
As for the crystal system: orthorhombic. Its total magnetization is 0.00 Bohr magnetons per cell.

R) Crystalline LiOsRu2 at its relaxed geometry, computed with GGA-PBE.

POSCAR file:
```
LiOsRu2
1.0
7.151 0.000 0.000
0.000 7.151 0.000
3.576 3.576 2.543
Os Ru Li
2 4 2
Cartesian
7.151 3.576 1.271 Os
0.000 0.000 0.000 Os
1.458 5.363 0.636 Ru
8.939 9.269 1.907 Ru
5.363 5.034 1.907 Ru
5.693 1.788 0.636 Ru
3.576 3.576 0.000 Li
3.576 7.151 1.271 Li
```

Results
As for the crystal system: tetragonal. Its total magnetization is 0.00 Bohr magnetons per cell.

The most stable arrangement is Q), and the next structure is 0.186 eV/atom less stable.